# 1
This record from the Alexandria database describes AcDyTe2O8 after structural relaxation. The functional is PBE-GGA.

abc: 6.448 6.448 6.448
angles: 107.28 107.28 113.95
Positions (direct):
Ac 0.000 0.000 0.000
Te 0.750 0.250 0.500
Te 0.500 0.500 0.000
O 0.308 0.112 0.804
O 0.888 0.692 0.196
O 0.940 0.615 0.674
O 0.496 0.692 0.804
O 0.385 0.060 0.326
O 0.734 0.060 0.674
O 0.308 0.504 0.196
O 0.940 0.266 0.326
Dy 0.250 0.750 0.500

Space-group type: I-4m2 (119)
Uncorrected formation energy in eV per atom: -1.931
Fermi-level density of states in states/eV/f.u.: 1.6

---

# 2
This record from the Alexandria database describes AcDyTeO6 after structural relaxation. The functional is PBE-GGA.

abc: 5.631 5.631 5.253
angles: 90.00 90.00 60.00
Positions (direct):
O 0.615 0.344 0.712
O 0.344 0.041 0.712
O 0.615 0.041 0.288
O 0.041 0.615 0.712
O 0.344 0.615 0.288
O 0.040 0.344 0.288
Te 0.333 0.333 0.500
Dy 0.667 0.667 0.500
Ac 0.000 0.000 0.000

Space-group type: P312 (149)
Uncorrected formation energy in eV per atom: -2.483
Fermi-level density of states in states/eV/f.u.: 0.0

---

# 3
This record from the Alexandria database describes Ac2DyTmO6 after structural relaxation. The functional is PBE-GGA.

abc: 6.012 6.174 8.622
angles: 90.00 90.07 90.00
Positions (direct):
O 0.298 0.699 0.061
O 0.387 0.953 0.748
O 0.803 0.798 0.939
O 0.798 0.801 0.561
O 0.697 0.298 0.561
O 0.303 0.702 0.439
O 0.887 0.547 0.248
O 0.702 0.301 0.939
O 0.113 0.453 0.752
O 0.197 0.202 0.061
O 0.613 0.047 0.252
O 0.202 0.199 0.439
Ac 0.486 0.453 0.250
Ac 0.514 0.547 0.750
Ac 0.014 0.953 0.250
Ac 0.986 0.047 0.750
Tm 0.000 0.500 0.000
Tm 0.500 0.000 0.500
Dy 0.500 0.000 0.000
Dy 0.000 0.500 0.500

Space-group type: P2_1/c (14)
Uncorrected formation energy in eV per atom: -3.484
Fermi-level density of states in states/eV/f.u.: 0.0